Entry 1:
# NdTcBi

An optimized crystal structure of NdTcBi (GGA-PBE, OQMD).

Geometry as CIF:
```
data_NdTcBi
_cell_length_a 5.025
_cell_length_b 5.025
_cell_length_c 5.025
_cell_angle_alpha 60.00
_cell_angle_beta 60.00
_cell_angle_gamma 60.00
_space_group_name_H-M_alt 'P 1'
_space_group_IT_number 1
loop_
_space_group_symop_operation_xyz
'x,y,z'
loop_
_atom_site_label
_atom_site_fract_x
_atom_site_fract_y
_atom_site_fract_z
Bi1 0.250 0.250 0.250
Nd1 0.000 0.000 0.000
Tc1 0.750 0.750 0.750
```

Summary:
calculated density	8.35	g cm⁻³
energy above the lowest structure with this stoichiometry	47.9	kJ/mol of atoms
VASP energy	-5.467	eV/atom



Entry 2:
# BaNdSc

An optimized crystal structure of BaNdSc (GGA-PBE, OQMD).

Geometry as CIF:
```
data_BaNdSc
_cell_length_a 5.657
_cell_length_b 5.657
_cell_length_c 5.657
_cell_angle_alpha 60.00
_cell_angle_beta 60.00
_cell_angle_gamma 60.00
_space_group_name_H-M_alt 'P 1'
_space_group_IT_number 1
loop_
_space_group_symop_operation_xyz
'x,y,z'
loop_
_atom_site_label
_atom_site_fract_x
_atom_site_fract_y
_atom_site_fract_z
Ba1 0.250 0.250 0.250
Nd1 0.750 0.750 0.750
Sc1 0.000 0.000 0.000
```

Summary:
calculated density	4.24	g cm⁻³
energy above the lowest structure with this stoichiometry	0.0	kJ/mol of atoms
VASP energy	-3.549	eV/atom